Record 1
# AgBi2O | Alexandria via LeMat-Bulk | SCAN | PBEsol geometry
# - Density of states at the Fermi level: 1.80 states/eV/f.u.
# - ΔE_f (raw): -14.3 kJ/mol of formula units
data_AgBi2O
_chemical_formula_sum 'Ag4 Bi8 O4'
_symmetry_space_group_name_H-M 'I -4 2 d'
_symmetry_Int_Tables_number 122
_symmetry_space_group_name_Hall 'I -4 2bw'
_cell_length_a 5.294
_cell_length_b 5.294
_cell_length_c 14.118
_cell_angle_alpha 90.00
_cell_angle_beta 90.00
_cell_angle_gamma 90.00
loop_
_atom_site_label
_atom_site_type_symbol
_atom_site_fract_x
_atom_site_fract_y
_atom_site_fract_z
Ag1 Ag 0.000 0.000 0.000
Bi1 Bi 0.164 0.250 0.625
O1 O 0.000 0.000 0.500

***

Record 2
# TaRhW2 | Alexandria via LeMat-Bulk | SCAN | PBEsol geometry
# - Density of states at the Fermi level: 3.79 states/eV/f.u.
# - Distance to the lowest polymorph of the same formula: 0.0 meV/atom
# - E_form: -6 kJ/mol of atoms
data_TaRhW2
_chemical_formula_sum 'Ta1 Rh1 W2'
_symmetry_space_group_name_H-M 'P m m m'
_symmetry_Int_Tables_number 47
_cell_length_a 3.267
_cell_length_b 4.300
_cell_length_c 4.455
_cell_angle_alpha 90.00
_cell_angle_beta 90.00
_cell_angle_gamma 90.00
loop_
_symmetry_equiv_pos_as_xyz
'x,y,z'
'-x,-y,-z'
'-x,-y,z'
'x,y,-z'
'x,-y,-z'
'-x,y,z'
'-x,y,-z'
'x,-y,z'
loop_
_atom_site_label
_atom_site_type_symbol
_atom_site_fract_x
_atom_site_fract_y
_atom_site_fract_z
Ta1 Ta 0.000 0.000 0.000
Rh1 Rh 0.500 0.500 0.000
W1 W 0.000 0.500 0.500
W2 W 0.500 0.000 0.500

***

Record 3
# KAl4Os | Alexandria via LeMat-Bulk | SCAN | PBEsol geometry
# - Density of states at the Fermi level: 2.23 states/eV/f.u.
# - E_form: 44 kJ/mol of atoms
data_KAl4Os
_chemical_formula_sum 'K4 Al16 Os4'
_symmetry_space_group_name_H-M 'F -4 3 m'
_symmetry_Int_Tables_number 216
_symmetry_space_group_name_Hall 'F -4 2 3'
_cell_length_a 7.426
_cell_length_b 7.426
_cell_length_c 7.426
_cell_angle_alpha 90.00
_cell_angle_beta 90.00
_cell_angle_gamma 90.00
loop_
_atom_site_label
_atom_site_type_symbol
_atom_site_fract_x
_atom_site_fract_y
_atom_site_fract_z
K1 K 0.000 0.000 0.000
Al1 Al 0.124 0.124 0.376
Os1 Os 0.250 0.250 0.750

***

Record 4
# ScTlPt | Alexandria via LeMat-Bulk | SCAN | PBEsol geometry
# - Density of states at the Fermi level: 3.79 states/eV/f.u.
# - E_form: -75 kJ/mol of atoms
data_ScTlPt
_chemical_formula_sum 'Sc4 Tl4 Pt4'
_symmetry_space_group_name_H-M 'F -4 3 m'
_symmetry_Int_Tables_number 216
_symmetry_space_group_name_Hall 'F -4 2 3'
_cell_length_a 6.412
_cell_length_b 6.412
_cell_length_c 6.412
_cell_angle_alpha 90.00
_cell_angle_beta 90.00
_cell_angle_gamma 90.00
loop_
_atom_site_label
_atom_site_type_symbol
_atom_site_fract_x
_atom_site_fract_y
_atom_site_fract_z
Sc1 Sc 0.000 0.000 0.000
Tl1 Tl 0.000 0.000 0.500
Pt1 Pt 0.250 0.250 0.750

***

Record 5
# K2TaRh | Alexandria via LeMat-Bulk | SCAN | PBEsol geometry
# - Density of states at the Fermi level: 3.74 states/eV/f.u.
# - Distance to the lowest polymorph of the same formula: 674.3 meV/atom
# - E_form: 110 kJ/mol of atoms
data_K2TaRh
_chemical_formula_sum 'K2 Ta1 Rh1'
_symmetry_space_group_name_H-M 'P 4/m m m'
_symmetry_Int_Tables_number 123
_symmetry_space_group_name_Hall '-P 4 2'
_cell_length_a 2.777
_cell_length_b 2.777
_cell_length_c 11.657
_cell_angle_alpha 90.00
_cell_angle_beta 90.00
_cell_angle_gamma 90.00
loop_
_atom_site_label
_atom_site_type_symbol
_atom_site_fract_x
_atom_site_fract_y
_atom_site_fract_z
K1 K 0.000 0.000 0.218
Ta1 Ta 0.500 0.500 0.500
Rh1 Rh 0.500 0.500 0.000

***

Record 6
# Li7Sn3 | Alexandria via LeMat-Bulk | SCAN | PBEsol geometry
# - Density of states at the Fermi level: 1.64 states/eV/f.u.
# - E_form: -42 kJ/mol of atoms
data_Li7Sn3
_chemical_formula_sum 'Li14 Sn6'
_symmetry_space_group_name_H-M 'P 1 21/m 1'
_symmetry_Int_Tables_number 11
_cell_length_a 8.427
_cell_length_b 4.671
_cell_length_c 9.344
_cell_angle_alpha 90.00
_cell_angle_beta 106.04
_cell_angle_gamma 90.00
loop_
_symmetry_equiv_pos_as_xyz
'x,y,z'
'-x,-y,-z'
'-x,y+1/2,-z'
'x,-y+1/2,z'
loop_
_atom_site_label
_atom_site_type_symbol
_atom_site_fract_x
_atom_site_fract_y
_atom_site_fract_z
Li1 Li 0.004 0.250 0.377
Li2 Li 0.007 0.750 0.130
Li3 Li 0.187 0.250 0.166
Li4 Li 0.202 0.250 0.680
Li5 Li 0.395 0.750 0.724
Li6 Li 0.401 0.250 0.464
Li7 Li 0.402 0.250 0.987
Sn1 Sn 0.196 0.750 0.917
Sn2 Sn 0.197 0.750 0.432
Sn3 Sn 0.405 0.750 0.226

***

Record 7
# BeCoW2 | Alexandria via LeMat-Bulk | SCAN | PBEsol geometry
# - Density of states at the Fermi level: 1.77 states/eV/f.u.
# - E_form: 18 kJ/mol of atoms
data_BeCoW2
_chemical_formula_sum 'Be1 Co1 W2'
_symmetry_space_group_name_H-M 'P m m m'
_symmetry_Int_Tables_number 47
_cell_length_a 3.580
_cell_length_b 3.582
_cell_length_c 3.915
_cell_angle_alpha 90.00
_cell_angle_beta 90.00
_cell_angle_gamma 90.00
loop_
_symmetry_equiv_pos_as_xyz
'x,y,z'
'-x,-y,-z'
'-x,-y,z'
'x,y,-z'
'x,-y,-z'
'-x,y,z'
'-x,y,-z'
'x,-y,z'
loop_
_atom_site_label
_atom_site_type_symbol
_atom_site_fract_x
_atom_site_fract_y
_atom_site_fract_z
Be1 Be 0.000 0.000 0.000
Co1 Co 0.500 0.000 0.500
W1 W 0.000 0.500 0.500
W2 W 0.500 0.500 0.000

***

Record 8
# KNa2Au2 | Alexandria via LeMat-Bulk | SCAN | PBEsol geometry
# - Density of states at the Fermi level: 1.73 states/eV/f.u.
# - Distance to the lowest polymorph of the same formula: 0.0 meV/atom
# - E_form: -36 kJ/mol of atoms
data_KNa2Au2
_chemical_formula_sum 'K2 Na4 Au4'
_symmetry_space_group_name_H-M 'I 4/m m m'
_symmetry_Int_Tables_number 139
_symmetry_space_group_name_Hall '-I 4 2'
_cell_length_a 4.579
_cell_length_b 4.579
_cell_length_c 13.026
_cell_angle_alpha 90.00
_cell_angle_beta 90.00
_cell_angle_gamma 90.00
loop_
_atom_site_label
_atom_site_type_symbol
_atom_site_fract_x
_atom_site_fract_y
_atom_site_fract_z
K1 K 0.000 0.000 0.000
Na1 Na 0.000 0.500 0.250
Au1 Au 0.000 0.000 0.397

***

Record 9
# CrReNi2 | Alexandria via LeMat-Bulk | SCAN | PBEsol geometry
# - Density of states at the Fermi level: 3.32 states/eV/f.u.
# - Distance to the lowest polymorph of the same formula: 1.0 meV/atom
# - E_form: 1 kJ/mol of atoms
data_CrReNi2
_chemical_formula_sum 'Cr1 Re1 Ni2'
_symmetry_space_group_name_H-M 'P m m 2'
_symmetry_Int_Tables_number 25
_cell_length_a 2.533
_cell_length_b 4.087
_cell_length_c 4.487
_cell_angle_alpha 90.00
_cell_angle_beta 90.00
_cell_angle_gamma 90.00
loop_
_symmetry_equiv_pos_as_xyz
'x,y,z'
'-x,-y,z'
'-x,y,z'
'x,-y,z'
loop_
_atom_site_label
_atom_site_type_symbol
_atom_site_fract_x
_atom_site_fract_y
_atom_site_fract_z
Cr1 Cr 0.000 0.000 0.000
Re1 Re 0.000 0.500 0.674
Ni1 Ni 0.500 0.000 0.483
Ni2 Ni 0.500 0.500 0.177

***

Record 10
# LiB3H18N5 | Alexandria via LeMat-Bulk | SCAN | PBEsol geometry
# - Total DFT energy (no corrections): -572.77 eV per cell
# - Density of states at the Fermi level: 0.00 states/eV/f.u.
data_LiB3H18N5
_chemical_formula_sum 'Li4 B12 H72 N20'
_symmetry_space_group_name_H-M 'P 1 21/c 1'
_symmetry_Int_Tables_number 14
_cell_length_a 7.343
_cell_length_b 11.509
_cell_length_c 10.421
_cell_angle_alpha 90.00
_cell_angle_beta 95.00
_cell_angle_gamma 90.00
loop_
_symmetry_equiv_pos_as_xyz
'x,y,z'
'-x,-y,-z'
'-x,y+1/2,-z+1/2'
'x,-y+1/2,z+1/2'
loop_
_atom_site_label
_atom_site_type_symbol
_atom_site_fract_x
_atom_site_fract_y
_atom_site_fract_z
Li1 Li 0.017 0.244 0.309
B1 B 0.365 0.511 0.424
B2 B 0.404 0.009 0.089
B3 B 0.497 0.105 0.984
H1 H 0.022 0.208 0.060
H2 H 0.069 0.024 0.273
H3 H 0.076 0.541 0.115
H4 H 0.109 0.613 0.521
H5 H 0.116 0.106 0.979
H6 H 0.148 0.046 0.425
H7 H 0.213 0.654 0.870
H8 H 0.229 0.520 0.350
H9 H 0.253 0.149 0.646
H10 H 0.306 0.720 0.342
H11 H 0.307 0.020 0.177
H12 H 0.310 0.672 0.736
H13 H 0.314 0.215 0.177
H14 H 0.332 0.184 0.792
H15 H 0.363 0.548 0.198
H16 H 0.365 0.645 0.082
H17 H 0.490 0.210 0.969
H18 H 0.499 0.532 0.084
N1 N 0.007 0.162 0.975
N2 N 0.047 0.069 0.355
N3 N 0.229 0.714 0.798
N4 N 0.249 0.214 0.714
N5 N 0.368 0.557 0.100

***

Record 11
# Cu2Au | Alexandria via LeMat-Bulk | SCAN | PBEsol geometry
# - Density of states at the Fermi level: 0.92 states/eV/f.u.
# - Distance to the lowest polymorph of the same formula: 0.5 meV/atom
# - E_form: -7 kJ/mol of atoms
data_Cu2Au
_chemical_formula_sum 'Cu8 Au4'
_symmetry_space_group_name_H-M 'P n m a'
_symmetry_Int_Tables_number 62
_cell_length_a 5.314
_cell_length_b 3.765
_cell_length_c 7.966
_cell_angle_alpha 90.00
_cell_angle_beta 90.00
_cell_angle_gamma 90.00
loop_
_symmetry_equiv_pos_as_xyz
'x,y,z'
'-x,-y,-z'
'-x+1/2,-y,z+1/2'
'x+1/2,y,-z+1/2'
'x+1/2,-y+1/2,-z+1/2'
'-x+1/2,y+1/2,z+1/2'
'-x,y+1/2,-z'
'x,-y+1/2,z'
loop_
_atom_site_label
_atom_site_type_symbol
_atom_site_fract_x
_atom_site_fract_y
_atom_site_fract_z
Cu1 Cu 0.114 0.250 0.247
Cu2 Cu 0.127 0.250 0.920
Au1 Au 0.137 0.250 0.592

***

Record 12
# ErTmIn2 | Alexandria via LeMat-Bulk | SCAN | PBEsol geometry
# - Density of states at the Fermi level: 2.04 states/eV/f.u.
# - E_form: -56 kJ/mol of atoms
data_ErTmIn2
_chemical_formula_sum 'Er4 Tm4 In8'
_symmetry_space_group_name_H-M 'F m -3 m'
_symmetry_Int_Tables_number 225
_symmetry_space_group_name_Hall '-F 4 2 3'
_cell_length_a 7.315
_cell_length_b 7.315
_cell_length_c 7.315
_cell_angle_alpha 90.00
_cell_angle_beta 90.00
_cell_angle_gamma 90.00
loop_
_atom_site_label
_atom_site_type_symbol
_atom_site_fract_x
_atom_site_fract_y
_atom_site_fract_z
Er1 Er 0.000 0.000 0.000
Tm1 Tm 0.000 0.000 0.500
In1 In 0.250 0.250 0.250

***

Record 13
# CdHOs2Se | Alexandria via LeMat-Bulk | SCAN | PBEsol geometry
# - Total DFT energy (no corrections): -187.52 eV per cell
# - Density of states at the Fermi level: 1.40 states/eV/f.u.
data_CdHOs2Se
_chemical_formula_sum 'Cd1 H1 Os2 Se1'
_symmetry_space_group_name_H-M 'P 4/m m m'
_symmetry_Int_Tables_number 123
_symmetry_space_group_name_Hall '-P 4 2'
_cell_length_a 4.496
_cell_length_b 4.496
_cell_length_c 5.277
_cell_angle_alpha 90.00
_cell_angle_beta 90.00
_cell_angle_gamma 90.00
loop_
_atom_site_label
_atom_site_type_symbol
_atom_site_fract_x
_atom_site_fract_y
_atom_site_fract_z
Cd1 Cd 0.000 0.000 0.000
H1 H 0.500 0.500 0.000
Os1 Os 0.000 0.500 0.500
Se1 Se 0.000 0.000 0.500

***

Record 14
# MgHg2Pb | Alexandria via LeMat-Bulk | SCAN | PBEsol geometry
# - Density of states at the Fermi level: 1.65 states/eV/f.u.
# - E_form: -7 kJ/mol of atoms
data_MgHg2Pb
_chemical_formula_sum 'Mg2 Hg4 Pb2'
_symmetry_space_group_name_H-M 'C 1 m 1'
_symmetry_Int_Tables_number 8
_cell_length_a 10.876
_cell_length_b 3.457
_cell_length_c 5.323
_cell_angle_alpha 90.00
_cell_angle_beta 106.60
_cell_angle_gamma 90.00
loop_
_symmetry_equiv_pos_as_xyz
'x,y,z'
'x,-y,z'
'x+1/2,y+1/2,z'
'x+1/2,-y+1/2,z'
loop_
_atom_site_label
_atom_site_type_symbol
_atom_site_fract_x
_atom_site_fract_y
_atom_site_fract_z
Mg1 Mg 0.000 0.000 0.000
Hg1 Hg 0.229 0.500 0.194
Hg2 Hg 0.479 0.000 0.464
Pb1 Pb 0.244 0.000 0.706

***

Record 15
# Na2ScSiO5 | Alexandria via LeMat-Bulk | SCAN | PBEsol geometry
# - Density of states at the Fermi level: 1.31 states/eV/f.u.
# - ΔE_f (raw): -2356.7 kJ/mol of formula units
data_Na2ScSiO5
_chemical_formula_sum 'Na16 Sc8 Si8 O40'
_symmetry_space_group_name_H-M 'P c a 21'
_symmetry_Int_Tables_number 29
_cell_length_a 13.805
_cell_length_b 5.330
_cell_length_c 12.051
_cell_angle_alpha 90.00
_cell_angle_beta 90.00
_cell_angle_gamma 90.00
loop_
_symmetry_equiv_pos_as_xyz
'x,y,z'
'-x,-y,z+1/2'
'-x+1/2,y,z+1/2'
'x+1/2,-y,z'
loop_
_atom_site_label
_atom_site_type_symbol
_atom_site_fract_x
_atom_site_fract_y
_atom_site_fract_z
Na1 Na 0.008 0.014 0.000
Na2 Na 0.116 0.489 0.404
Na3 Na 0.133 0.016 0.757
Na4 Na 0.242 0.485 0.160
Sc1 Sc 0.025 0.526 0.652
Sc2 Sc 0.226 0.024 0.509
Si1 Si 0.117 0.955 0.241
Si2 Si 0.133 0.541 0.919
O1 O 0.026 0.127 0.198
O2 O 0.035 0.467 0.991
O3 O 0.094 0.656 0.222
O4 O 0.113 0.243 0.583
O5 O 0.117 0.486 0.787
O6 O 0.133 0.001 0.374
O7 O 0.137 0.743 0.577
O8 O 0.157 0.841 0.936
O9 O 0.214 0.032 0.170
O10 O 0.223 0.371 0.964

***

Record 16
# HfVGe | Alexandria via LeMat-Bulk | SCAN | PBEsol geometry
# - Density of states at the Fermi level: 1.15 states/eV/f.u.
# - E_form: -68 kJ/mol of atoms
data_HfVGe
_chemical_formula_sum 'Hf2 V2 Ge2'
_symmetry_space_group_name_H-M 'P 4/n m m'
_symmetry_Int_Tables_number 129
_cell_length_a 3.650
_cell_length_b 3.650
_cell_length_c 7.200
_cell_angle_alpha 90.00
_cell_angle_beta 90.00
_cell_angle_gamma 90.00
loop_
_symmetry_equiv_pos_as_xyz
'x,y,z'
'-x,-y,-z'
'-y+1/2,x,z'
'y+1/2,-x,-z'
'-x+1/2,-y+1/2,z'
'x+1/2,y+1/2,-z'
'y,-x+1/2,z'
'-y,x+1/2,-z'
'x+1/2,-y,-z'
'-x+1/2,y,z'
'-y,-x,-z'
'y,x,z'
'-x,y+1/2,-z'
'x,-y+1/2,z'
'y+1/2,x+1/2,-z'
'-y+1/2,-x+1/2,z'
loop_
_atom_site_label
_atom_site_type_symbol
_atom_site_fract_x
_atom_site_fract_y
_atom_site_fract_z
Hf1 Hf 0.250 0.250 0.138
V1 V 0.250 0.750 0.500
Ge1 Ge 0.250 0.250 0.750

***

Record 17
# MgCdW2 | Alexandria via LeMat-Bulk | SCAN | PBEsol geometry
# - Density of states at the Fermi level: 2.02 states/eV/f.u.
# - Distance to the lowest polymorph of the same formula: 124.7 meV/atom
# - E_form: 50 kJ/mol of atoms
data_MgCdW2
_chemical_formula_sum 'Mg2 Cd2 W4'
_symmetry_space_group_name_H-M 'C 1 2/m 1'
_symmetry_Int_Tables_number 12
_cell_length_a 5.410
_cell_length_b 9.480
_cell_length_c 2.726
_cell_angle_alpha 90.00
_cell_angle_beta 105.21
_cell_angle_gamma 90.00
loop_
_symmetry_equiv_pos_as_xyz
'x,y,z'
'-x,-y,-z'
'-x,y,-z'
'x,-y,z'
'x+1/2,y+1/2,z'
'-x+1/2,-y+1/2,-z'
'-x+1/2,y+1/2,-z'
'x+1/2,-y+1/2,z'
loop_
_atom_site_label
_atom_site_type_symbol
_atom_site_fract_x
_atom_site_fract_y
_atom_site_fract_z
Mg1 Mg 0.000 0.000 0.000
Cd1 Cd 0.000 0.500 0.000
W1 W 0.250 0.250 0.500

***

Record 18
# TmPd3 | Alexandria via LeMat-Bulk | SCAN | PBEsol geometry
# - Density of states at the Fermi level: 2.11 states/eV/f.u.
# - E_form: -95 kJ/mol of atoms
data_TmPd3
_chemical_formula_sum 'Tm1 Pd3'
_symmetry_space_group_name_H-M 'P m -3 m'
_symmetry_Int_Tables_number 221
_symmetry_space_group_name_Hall '-P 4 2 3'
_cell_length_a 4.018
_cell_length_b 4.018
_cell_length_c 4.018
_cell_angle_alpha 90.00
_cell_angle_beta 90.00
_cell_angle_gamma 90.00
loop_
_atom_site_label
_atom_site_type_symbol
_atom_site_fract_x
_atom_site_fract_y
_atom_site_fract_z
Tm1 Tm 0.000 0.000 0.000
Pd1 Pd 0.000 0.500 0.500